## CrAsSeBr2 (PBE-GGA)

Data for crystalline CrAsSeBr2 at its relaxed geometry.

CIF file:
```
data_CrAsSeBr2
_chemical_formula_sum 'Cr1 As1 Se1 Br2'
_cell_length_a 4.9810
_cell_length_b 4.9810
_cell_length_c 5.1585
_cell_angle_alpha 90.00
_cell_angle_beta 90.00
_cell_angle_gamma 90.00
_space_group_name_H-M_alt 'P 1'
_space_group_IT_number 1
loop_
_space_group_symop_operation_xyz
'x,y,z'
loop_
_atom_site_label
_atom_site_fract_x
_atom_site_fract_y
_atom_site_fract_z
_atom_site_occupancy
Cr1 0.0000 0.0000 0.0000 1
As1 0.5000 0.5000 0.5000 1
Se1 0.0000 0.0000 0.5000 1
Br1 0.0000 0.5000 0.0000 1
Br2 0.5000 0.0000 0.0000 1
```

Results
Spin magnetization, μB per atom: 1.00
DFT total energy, eV per atom: -3.99
Relative energy among the computed polymorphs, meV per atom: 0
V, A^3/atom: 25.60
Energy relative to the elements, uncorrected, meV per atom: 228
ρ, g/cm³: 4.74



## CrAsSeBr2 (PBE-GGA)

Data for crystalline CrAsSeBr2 at its relaxed geometry.

CIF file:
```
data_CrAsSeBr2
_chemical_formula_sum 'Cr1 As1 Se1 Br2'
_cell_length_a 5.2384
_cell_length_b 5.2384
_cell_length_c 5.2407
_cell_angle_alpha 90.00
_cell_angle_beta 90.00
_cell_angle_gamma 90.00
_space_group_name_H-M_alt 'P 1'
_space_group_IT_number 1
loop_
_space_group_symop_operation_xyz
'x,y,z'
loop_
_atom_site_label
_atom_site_fract_x
_atom_site_fract_y
_atom_site_fract_z
_atom_site_occupancy
Cr1 0.0000 0.0000 0.0000 1
As1 0.5000 0.5000 0.0000 1
Se1 0.5000 0.5000 0.5000 1
Br1 0.0000 0.5000 0.5000 1
Br2 0.5000 0.0000 0.5000 1
```

Results
Spin magnetization, μB per atom: 0.06
DFT total energy, eV per atom: -2.97
Relative energy among the computed polymorphs, meV per atom: 1020
V, A^3/atom: 28.76
Energy relative to the elements, uncorrected, meV per atom: 1249
ρ, g/cm³: 4.22